Compound: CePa2Pb
Source: Alexandria
Functional: PBE
Structure: optimized geometry

Summary:
VASP energy in eV/atom: -7.18
Offset from the most stable computed form in eV per formula unit: 0.00
N(E_F) in states/eV/f.u.: 10.95
Energy of formation from the pure elements in eV/atom: -0.020

abc: 4.600 4.600 4.954
angles: 90.00 90.00 90.00
Space group P4/mmm (No. 123)
One atom of each set of equivalent atoms:
1 Ce 0.000 0.000 0.000 [1 per cell]
2 Pa 0.000 0.500 0.500 [2 per cell]
3 Pb 0.500 0.500 0.000 [1 per cell]